Compound: Mg4CuIr
Source: the Alexandria database
Functional: GGA-PBE
Structure: relaxed

Values from the calculation:
The value obtained for the energy above the most stable polymorph in this dataset is 3.27 eV/f.u. Its crystal system is cubic. For the total energy, the calculation gives -2.875 eV per atom. The calculation puts the formation energy at 348 meV per atom. Its density is 5.50 g cm⁻³. The density of states at the Fermi level comes out at 3.851 states/eV per cell. The total magnetic moment is 0.0 μB/f.u.

Unit cell a=5.3218 b=5.3218 c=5.3218 alpha=60.00 beta=60.00 gamma=60.00
Atoms (fractional coordinates):
Mg  0.8757  0.3748  0.3748
Mg  0.3748  0.3748  0.8757
Mg  0.3748  0.8757  0.3748
Mg  0.3748  0.3748  0.3748
Cu  0.7500  0.7500  0.7500
Ir  0.0000  0.0000  0.0000

=====

Compound: CsLi3Co
Source: the Alexandria database
Functional: GGA-PBE
Structure: relaxed

Values from the calculation:
The value obtained for the energy above the most stable polymorph in this dataset is 0.00 eV/f.u. Its crystal system is cubic. For the total energy, the calculation gives -2.109 eV per atom. The calculation puts the formation energy at 631 meV per atom. Its density is 2.58 g cm⁻³. The density of states at the Fermi level comes out at 9.068 states/eV per cell. The total magnetic moment is 0.4 μB/f.u.

Unit cell a=5.1551 b=5.1551 c=5.1551 alpha=90.00 beta=90.00 gamma=90.00
Atoms (fractional coordinates):
Cs  0.5000  0.5000  0.5000
Co  0.0000  0.0000  0.0000
Li  0.0000  0.5000  0.0000
Li  0.0000  0.0000  0.5000
Li  0.5000  0.0000  0.0000

=====

Compound: ScCuMo
Source: the Alexandria database
Functional: GGA-PBE
Structure: relaxed

Values from the calculation:
The value obtained for the energy above the most stable polymorph in this dataset is 1.41 eV/f.u. Its crystal system is cubic. For the total energy, the calculation gives -6.498 eV per atom. The calculation puts the formation energy at 588 meV per atom. Its density is 6.13 g cm⁻³. The density of states at the Fermi level comes out at 4.767 states/eV per cell. The total magnetic moment is 0.0 μB/f.u.

Unit cell a=4.2791 b=4.2791 c=4.2791 alpha=60.00 beta=60.00 gamma=60.00
Atoms (fractional coordinates):
Cu  0.7500  0.7500  0.7500
Mo  0.0000  0.0000  0.0000
Sc  0.5000  0.5000  0.5000

=====

Compound: NaPdIN2
Source: the Alexandria database
Functional: GGA-PBE
Structure: relaxed

Values from the calculation:
The value obtained for the energy above the most stable polymorph in this dataset is 4.75 eV/f.u. Its crystal system is tetragonal. For the total energy, the calculation gives -3.079 eV per atom. The formation energy from raw total energies comes out at 1.8639 eV/atom. Its density is 3.90 g cm⁻³. The density of states at the Fermi level comes out at 2.303 states/eV per cell. The total magnetic moment is 5.3 μB/f.u.

Unit cell a=4.3524 b=4.3524 c=6.3942 alpha=90.00 beta=90.00 gamma=90.00
Atoms (fractional coordinates):
I  0.0000  0.0000  0.5000
Na  0.0000  0.0000  0.0000
Pd  0.5000  0.5000  0.5000
N  0.0000  0.5000  0.0000
N  0.5000  0.0000  0.0000